No. 1
The following is a DFT calculation (SCAN) of a crystal of ReTcSe3 relaxed with PBEsol.

Lattice parameters (Å, degrees): 4.764 4.764 4.764 90.00 90.00 90.00
Last column: magnetic moment on the atom in μB.
Fractional positions:
Se: 0.500 0.000 0.000  -0.24
Se: 0.000 0.000 0.500  -0.24
Se: 0.000 0.500 0.000  -0.24
Tc: 0.000 0.000 0.000  -1.45
Re: 0.500 0.500 0.500  3.51

Crystal system: cubic
Formation energy from raw total energies, eV per atom: 1.361
Fermi-level density of states, states/eV/f.u.: 3.3
ρ, kg/m³: 8002
Raw total energy, eV per atom: -31.918
SG: Pm-3m (221)

---

No. 2
The following is a DFT calculation (SCAN) of a crystal of LiTa2Te relaxed with PBEsol.

Lattice parameters (Å, degrees): 3.565 4.289 4.572 90.00 90.00 90.00
Fractional positions:
Li: 0.000 0.500 0.500
Ta: 0.000 0.000 0.000
Ta: 0.500 0.500 0.000
Te: 0.500 0.000 0.500

Crystal system: orthorhombic
Formation energy from raw total energies, eV per atom: 0.172
Fermi-level density of states, states/eV/f.u.: 2.4
ρ, kg/m³: 11788
Raw total energy, eV per atom: -43.030
SG: Pmmm (47)

---

No. 3
The following is a DFT calculation (SCAN) of a crystal of CdNiW2 relaxed with PBEsol.

Lattice parameters (Å, degrees): 3.976 3.435 4.400 90.00 90.00 90.00
Fractional positions:
Ni: 0.000 0.500 0.500
W: 0.500 0.500 0.000
W: 0.000 0.000 0.000
Cd: 0.500 0.000 0.500

DFT formation energy, kJ/mol of formula units: 197
Crystal system: orthorhombic
Fermi-level density of states, states/eV/f.u.: 3.6
ρ, kg/m³: 14886
Raw total energy, eV per atom: -45.981
SG: Pmmm (47)

---

No. 4
The following is a DFT calculation (SCAN) of a crystal of Mn4PCl relaxed with PBEsol.

Lattice parameters (Å, degrees): 4.876 4.876 4.876 60.00 60.00 60.00
Last column: magnetic moment on the atom in μB.
Fractional positions:
Cl: 0.000 0.000 0.000  0.17
Mn: 0.377 0.377 0.377  2.88
Mn: 0.377 0.870 0.377  2.88
Mn: 0.377 0.377 0.870  2.88
Mn: 0.870 0.377 0.377  2.88
P: 0.750 0.750 0.750  -0.17

Crystal system: cubic
Formation energy from raw total energies, eV per atom: 0.492
Fermi-level density of states, states/eV/f.u.: 3.9
ρ, kg/m³: 5797
Raw total energy, eV per atom: -14.741
SG: F-43m (216)

---

What did the first record say?
The following is a DFT calculation (SCAN) of a crystal of ReTcSe3 relaxed with PBEsol.

Lattice parameters (Å, degrees): 4.764 4.764 4.764 90.00 90.00 90.00
Last column: magnetic moment on the atom in μB.
Fractional positions:
Se: 0.500 0.000 0.000  -0.24
Se: 0.000 0.000 0.500  -0.24
Se: 0.000 0.500 0.000  -0.24
Tc: 0.000 0.000 0.000  -1.45
Re: 0.500 0.500 0.500  3.51

Crystal system: cubic
Formation energy from raw total energies, eV per atom: 1.361
Fermi-level density of states, states/eV/f.u.: 3.3
ρ, kg/m³: 8002
Raw total energy, eV per atom: -31.918
SG: Pm-3m (221)